Mn3NbH: optimized geometry, GGA-PBE.

## Properties
* space group: Pm-3m
* calculated density: 3868 kg/m3
* Fermi-level density of states: 4.64 states/eV per cell
* electronic total energy: -6.309 eV/atom

```
Mn3NbH
1.0
4.807 0.000 0.000
0.000 4.807 0.000
0.000 0.000 4.807
Mn Nb H
3 1 1
Cartesian
0.000 0.000 2.403
0.000 2.403 0.000
2.403 0.000 0.000
0.000 0.000 0.000
2.403 2.403 2.403
```